The following is a PBE calculation of a relaxed Mn2ZnRh9 crystal, from Alexandria.

```
data_Mn2ZnRh9
_chemical_formula_sum 'Mn2 Zn1 Rh9'
_symmetry_space_group_name_H-M 'P 4/m m m'
_symmetry_Int_Tables_number 123
_symmetry_space_group_name_Hall '-P 4 2'
_cell_length_a 3.815
_cell_length_b 3.815
_cell_length_c 11.470
_cell_angle_alpha 90.00
_cell_angle_beta 90.00
_cell_angle_gamma 90.00
loop_
_atom_site_label
_atom_site_type_symbol
_atom_site_fract_x
_atom_site_fract_y
_atom_site_fract_z
_atom_site_occupancy
Mn1 Mn 0.000 0.000 0.167 1
Zn1 Zn 0.000 0.000 0.500 1
Rh1 Rh 0.000 0.500 0.000 1
Rh2 Rh 0.000 0.500 0.329 1
Rh3 Rh 0.500 0.500 0.165 1
Rh4 Rh 0.500 0.500 0.500 1
```

Computed properties:
Energy relative to the elements = -121 meV per atom
D(E_F) = 16.32 states/eV/f.u.
VASP energy = -87.2 eV for the cell shown


The following is a PBE calculation of a relaxed Zr8BeCo2 crystal, from Alexandria.

```
data_Zr8BeCo2
_chemical_formula_sum 'Zr16 Be2 Co4'
_symmetry_space_group_name_H-M 'C 1 m 1'
_symmetry_Int_Tables_number 8
_cell_length_a 7.539
_cell_length_b 12.465
_cell_length_c 5.166
_cell_angle_alpha 90.00
_cell_angle_beta 113.32
_cell_angle_gamma 90.00
loop_
_symmetry_equiv_pos_as_xyz
'x,y,z'
'x,-y,z'
'x+1/2,y+1/2,z'
'x+1/2,-y+1/2,z'
loop_
_atom_site_label
_atom_site_type_symbol
_atom_site_fract_x
_atom_site_fract_y
_atom_site_fract_z
_atom_site_occupancy
Zr1 Zr 0.000 0.000 0.000 1
Zr2 Zr 0.093 0.382 0.691 1
Zr3 Zr 0.170 0.118 0.627 1
Zr4 Zr 0.262 0.500 0.317 1
Zr5 Zr 0.381 0.239 0.159 1
Be1 Be 0.381 0.000 0.159 1
Co1 Co 0.381 0.288 0.659 1
```

Computed properties:
Energy relative to the elements = 30 meV per atom
D(E_F) = 11.26 states/eV/f.u.
VASP energy = -172.0 eV for the cell shown


The following is a PBE calculation of a relaxed TbYBeCo crystal, from Alexandria.

```
data_TbYBeCo
_chemical_formula_sum 'Tb4 Y4 Be4 Co4'
_symmetry_space_group_name_H-M 'F -4 3 m'
_symmetry_Int_Tables_number 216
_symmetry_space_group_name_Hall 'F -4 2 3'
_cell_length_a 6.766
_cell_length_b 6.766
_cell_length_c 6.766
_cell_angle_alpha 90.00
_cell_angle_beta 90.00
_cell_angle_gamma 90.00
loop_
_atom_site_label
_atom_site_type_symbol
_atom_site_fract_x
_atom_site_fract_y
_atom_site_fract_z
_atom_site_occupancy
Tb1 Tb 0.000 0.000 0.000 1
Y1 Y 0.000 0.000 0.500 1
Be1 Be 0.250 0.250 0.250 1
Co1 Co 0.250 0.250 0.750 1
```

Computed properties:
Energy relative to the elements = -13 meV per atom
D(E_F) = 2.70 states/eV/f.u.
VASP energy = -87.9 eV for the cell shown


The following is a PBE calculation of a relaxed ZnRh5S8 crystal, from Alexandria.

```
data_ZnRh5S8
_chemical_formula_sum 'Zn4 Rh20 S32'
_symmetry_space_group_name_H-M 'F -4 3 m'
_symmetry_Int_Tables_number 216
_symmetry_space_group_name_Hall 'F -4 2 3'
_cell_length_a 9.945
_cell_length_b 9.945
_cell_length_c 9.945
_cell_angle_alpha 90.00
_cell_angle_beta 90.00
_cell_angle_gamma 90.00
loop_
_atom_site_label
_atom_site_type_symbol
_atom_site_fract_x
_atom_site_fract_y
_atom_site_fract_z
_atom_site_occupancy
Zn1 Zn 0.000 0.000 0.000 1
Rh1 Rh 0.124 0.124 0.624 1
Rh2 Rh 0.250 0.250 0.250 1
S1 S 0.116 0.116 0.384 1
S2 S 0.137 0.137 0.863 1
```

Computed properties:
D(E_F) = 12.57 states/eV/f.u.
VASP energy = -309.4 eV for the cell shown
Energy relative to the elements, uncorrected = -0.45 eV/atom


The following is a PBE calculation of a relaxed HoAlAg2S4 crystal, from Alexandria.

```
data_HoAlAg2S4
_chemical_formula_sum 'Ho2 Al2 Ag4 S8'
_symmetry_space_group_name_H-M 'P 1'
_symmetry_Int_Tables_number 1
_cell_length_a 7.144
_cell_length_b 7.923
_cell_length_c 7.963
_cell_angle_alpha 119.81
_cell_angle_beta 116.62
_cell_angle_gamma 90.04
loop_
_symmetry_equiv_pos_as_xyz
'x,y,z'
loop_
_atom_site_label
_atom_site_type_symbol
_atom_site_fract_x
_atom_site_fract_y
_atom_site_fract_z
_atom_site_occupancy
Ho1 Ho 0.000 0.000 0.000 1
Ho2 Ho 0.000 0.486 0.000 1
Al1 Al 0.477 0.962 0.437 1
Al2 Al 0.960 0.962 0.437 1
Ag1 Ag 0.223 0.468 0.450 1
Ag2 Ag 0.463 0.454 0.925 1
Ag3 Ag 0.463 0.957 0.925 1
Ag4 Ag 0.696 0.440 0.395 1
S1 S 0.245 0.181 0.490 1
S2 S 0.245 0.796 0.490 1
S3 S 0.278 0.270 0.053 1
S4 S 0.281 0.766 0.046 1
S5 S 0.764 0.766 0.046 1
S6 S 0.770 0.212 0.540 1
S7 S 0.770 0.814 0.540 1
S8 S 0.776 0.270 0.054 1
```

Computed properties:
VASP energy = -76.3 eV for the cell shown
Energy relative to the elements, uncorrected = -0.95 eV/atom


The following is a PBE calculation of a relaxed La7Pm2Ho crystal, from Alexandria.

```
data_La7Pm2Ho
_chemical_formula_sum 'La14 Pm4 Ho2'
_symmetry_space_group_name_H-M 'C m m m'
_symmetry_Int_Tables_number 65
_symmetry_space_group_name_Hall '-C 2 2'
_cell_length_a 9.010
_cell_length_b 16.325
_cell_length_c 5.632
_cell_angle_alpha 90.00
_cell_angle_beta 90.00
_cell_angle_gamma 90.00
loop_
_atom_site_label
_atom_site_type_symbol
_atom_site_fract_x
_atom_site_fract_y
_atom_site_fract_z
_atom_site_occupancy
La1 La 0.000 0.000 0.000 1
La2 La 0.000 0.260 0.500 1
La3 La 0.186 0.386 0.000 1
Pm1 Pm 0.000 0.201 0.000 1
Ho1 Ho 0.000 0.500 0.500 1
```

Computed properties:
Energy relative to the elements = 563 meV per atom
E above lowest polymorph = 0.247 eV per atom
D(E_F) = 17.61 states/eV/f.u.
VASP energy = -85.9 eV for the cell shown


The following is a PBE calculation of a relaxed CaCuHg2 crystal, from Alexandria.

```
data_CaCuHg2
_chemical_formula_sum 'Ca1 Cu1 Hg2'
_symmetry_space_group_name_H-M 'P 4/m m m'
_symmetry_Int_Tables_number 123
_symmetry_space_group_name_Hall '-P 4 2'
_cell_length_a 3.485
_cell_length_b 3.485
_cell_length_c 7.180
_cell_angle_alpha 90.00
_cell_angle_beta 90.00
_cell_angle_gamma 90.00
loop_
_atom_site_label
_atom_site_type_symbol
_atom_site_fract_x
_atom_site_fract_y
_atom_site_fract_z
_atom_site_occupancy
Ca1 Ca 0.000 0.000 0.000 1
Cu1 Cu 0.000 0.000 0.500 1
Hg1 Hg 0.500 0.500 0.289 1
```

Computed properties:
Energy relative to the elements = -184 meV per atom
D(E_F) = 1.68 states/eV/f.u.
VASP energy = -7.4 eV for the cell shown


The following is a PBE calculation of a relaxed Ca2SbI crystal, from Alexandria.

```
data_Ca2SbI
_chemical_formula_sum 'Ca8 Sb4 I4'
_symmetry_space_group_name_H-M 'F m -3 m'
_symmetry_Int_Tables_number 225
_symmetry_space_group_name_Hall '-F 4 2 3'
_cell_length_a 7.931
_cell_length_b 7.931
_cell_length_c 7.931
_cell_angle_alpha 90.00
_cell_angle_beta 90.00
_cell_angle_gamma 90.00
loop_
_atom_site_label
_atom_site_type_symbol
_atom_site_fract_x
_atom_site_fract_y
_atom_site_fract_z
_atom_site_occupancy
Ca1 Ca 0.250 0.250 0.250 1
Sb1 Sb 0.000 0.000 0.000 1
I1 I 0.000 0.000 0.500 1
```

Computed properties:
D(E_F) = 0.00 states/eV/f.u.
VASP energy = -55.0 eV for the cell shown
Energy relative to the elements, uncorrected = -1.02 eV/atom


The following is a PBE calculation of a relaxed CaMnZn2 crystal, from Alexandria.

```
data_CaMnZn2
_chemical_formula_sum 'Ca1 Mn1 Zn2'
_symmetry_space_group_name_H-M 'P 1 m 1'
_symmetry_Int_Tables_number 6
_cell_length_a 3.281
_cell_length_b 4.217
_cell_length_c 6.004
_cell_angle_alpha 90.00
_cell_angle_beta 105.70
_cell_angle_gamma 90.00
loop_
_symmetry_equiv_pos_as_xyz
'x,y,z'
'x,-y,z'
loop_
_atom_site_label
_atom_site_type_symbol
_atom_site_fract_x
_atom_site_fract_y
_atom_site_fract_z
_atom_site_occupancy
Ca1 Ca 0.000 0.000 0.000 1
Mn1 Mn 0.691 0.500 0.377 1
Zn1 Zn 0.258 0.000 0.507 1
Zn2 Zn 0.377 0.500 0.752 1
```

Computed properties:
Energy relative to the elements = 95 meV per atom
D(E_F) = 2.66 states/eV/f.u.
VASP energy = -13.3 eV for the cell shown


The following is a PBE calculation of a relaxed TaTcNO2 crystal, from Alexandria.

```
data_TaTcNO2
_chemical_formula_sum 'Ta1 Tc1 N1 O2'
_symmetry_space_group_name_H-M 'P 4/m m m'
_symmetry_Int_Tables_number 123
_symmetry_space_group_name_Hall '-P 4 2'
_cell_length_a 3.849
_cell_length_b 3.849
_cell_length_c 3.908
_cell_angle_alpha 90.00
_cell_angle_beta 90.00
_cell_angle_gamma 90.00
loop_
_atom_site_label
_atom_site_type_symbol
_atom_site_fract_x
_atom_site_fract_y
_atom_site_fract_z
_atom_site_occupancy
Ta1 Ta 0.000 0.000 0.000 1
Tc1 Tc 0.500 0.500 0.500 1
N1 N 0.500 0.500 0.000 1
O1 O 0.000 0.500 0.500 1
```

Computed properties:
D(E_F) = 5.14 states/eV/f.u.
VASP energy = -40.4 eV for the cell shown
Energy relative to the elements, uncorrected = 0.02 eV/atom


The following is a PBE calculation of a relaxed Nb2ZnCrC crystal, from Alexandria.

```
data_Nb2ZnCrC
_chemical_formula_sum 'Nb2 Zn1 Cr1 C1'
_symmetry_space_group_name_H-M 'P 4/m m m'
_symmetry_Int_Tables_number 123
_symmetry_space_group_name_Hall '-P 4 2'
_cell_length_a 4.509
_cell_length_b 4.509
_cell_length_c 4.523
_cell_angle_alpha 90.00
_cell_angle_beta 90.00
_cell_angle_gamma 90.00
loop_
_atom_site_label
_atom_site_type_symbol
_atom_site_fract_x
_atom_site_fract_y
_atom_site_fract_z
_atom_site_occupancy
Nb1 Nb 0.000 0.500 0.000 1
Zn1 Zn 0.000 0.000 0.500 1
Cr1 Cr 0.000 0.000 0.000 1
C1 C 0.500 0.500 0.500 1
```

Computed properties:
Energy relative to the elements = 1977 meV per atom
D(E_F) = 3.42 states/eV/f.u.
VASP energy = -30.4 eV for the cell shown


The following is a PBE calculation of a relaxed Mg3MnI crystal, from Alexandria.

```
data_Mg3MnI
_chemical_formula_sum 'Mg3 Mn1 I1'
_symmetry_space_group_name_H-M 'P m -3 m'
_symmetry_Int_Tables_number 221
_symmetry_space_group_name_Hall '-P 4 2 3'
_cell_length_a 5.601
_cell_length_b 5.601
_cell_length_c 5.601
_cell_angle_alpha 90.00
_cell_angle_beta 90.00
_cell_angle_gamma 90.00
loop_
_atom_site_label
_atom_site_type_symbol
_atom_site_fract_x
_atom_site_fract_y
_atom_site_fract_z
_atom_site_occupancy
Mg1 Mg 0.000 0.000 0.500 1
Mn1 Mn 0.500 0.500 0.500 1
I1 I 0.000 0.000 0.000 1
```

Computed properties:
E above lowest polymorph = 0.209 eV per atom
D(E_F) = 3.41 states/eV/f.u.
VASP energy = -10.6 eV for the cell shown
Energy relative to the elements, uncorrected = 0.99 eV/atom


What did the second record say?
The following is a PBE calculation of a relaxed Zr8BeCo2 crystal, from Alexandria.

```
data_Zr8BeCo2
_chemical_formula_sum 'Zr16 Be2 Co4'
_symmetry_space_group_name_H-M 'C 1 m 1'
_symmetry_Int_Tables_number 8
_cell_length_a 7.539
_cell_length_b 12.465
_cell_length_c 5.166
_cell_angle_alpha 90.00
_cell_angle_beta 113.32
_cell_angle_gamma 90.00
loop_
_symmetry_equiv_pos_as_xyz
'x,y,z'
'x,-y,z'
'x+1/2,y+1/2,z'
'x+1/2,-y+1/2,z'
loop_
_atom_site_label
_atom_site_type_symbol
_atom_site_fract_x
_atom_site_fract_y
_atom_site_fract_z
_atom_site_occupancy
Zr1 Zr 0.000 0.000 0.000 1
Zr2 Zr 0.093 0.382 0.691 1
Zr3 Zr 0.170 0.118 0.627 1
Zr4 Zr 0.262 0.500 0.317 1
Zr5 Zr 0.381 0.239 0.159 1
Be1 Be 0.381 0.000 0.159 1
Co1 Co 0.381 0.288 0.659 1
```

Computed properties:
Energy relative to the elements = 30 meV per atom
D(E_F) = 11.26 states/eV/f.u.
VASP energy = -172.0 eV for the cell shown


Look up the VASP energy of the second one. -172.0 eV for the cell shown


What is the VASP energy in the fifth record? -76.3 eV for the cell shown